No. 1
The following is a PBE calculation of crystalline TlGaNi2Au at its relaxed geometry, from Alexandria.

a b c (Å): 4.8443 5.2757 4.8443
angles (deg): 90.00 90.00 90.00
Site moments in Bohr magnetons follow the coordinates.
Fractional positions:
1 Au 0.0000 0.5000 0.0000  0.00
2 Tl 0.0000 0.0000 0.0000  -0.01
3 Ni 0.5000 0.0000 0.0000  0.28
4 Ni 0.0000 0.0000 0.5000  0.27
5 Ga 0.5000 0.5000 0.5000  0.00

total energy = -14.763 eV/cell

***

No. 2
The following is a PBE calculation of crystalline TmGa3NiAu at its relaxed geometry, from Alexandria.

a b c (Å): 5.9678 5.8513 6.8327
angles (deg): 115.35 90.00 90.00
Fractional positions:
1 Ni 0.7500 0.0734 0.1469
2 Ni 0.2500 0.9266 0.8531
3 Ga 0.7500 0.8684 0.7368
4 Ga 0.0000 0.2845 0.0000
5 Ga 0.2500 0.1316 0.2632
6 Ga 0.5000 0.2845 0.0000
7 Ga 0.0000 0.7155 0.0000
8 Ga 0.5000 0.7155 0.0000
9 Tm 0.2500 0.7161 0.4322
10 Tm 0.7500 0.2839 0.5678
11 Au 0.2500 0.3381 0.6762
12 Au 0.7500 0.6619 0.3238

total energy = -49.499 eV/cell

***

No. 3
The following is a PBE calculation of crystalline VGaNiAu at its relaxed geometry, from Alexandria.

a b c (Å): 4.3280 4.3280 4.3280
angles (deg): 60.00 60.00 60.00
Site moments in Bohr magnetons follow the coordinates.
Fractional positions:
1 Au 0.7500 0.7500 0.7500  -0.01
2 V 0.5000 0.5000 0.5000  0.74
3 Ni 0.0000 0.0000 0.0000  -0.08
4 Ga 0.2500 0.2500 0.2500  0.01

total energy = -21.431 eV/cell

***

Which value of total energy does entry 2 give?
-49.499 eV/cell

***

Look up the total energy of the third one.
-21.431 eV/cell

***

Copy entry 2 word for word.
The following is a PBE calculation of crystalline TmGa3NiAu at its relaxed geometry, from Alexandria.

a b c (Å): 5.9678 5.8513 6.8327
angles (deg): 115.35 90.00 90.00
Fractional positions:
1 Ni 0.7500 0.0734 0.1469
2 Ni 0.2500 0.9266 0.8531
3 Ga 0.7500 0.8684 0.7368
4 Ga 0.0000 0.2845 0.0000
5 Ga 0.2500 0.1316 0.2632
6 Ga 0.5000 0.2845 0.0000
7 Ga 0.0000 0.7155 0.0000
8 Ga 0.5000 0.7155 0.0000
9 Tm 0.2500 0.7161 0.4322
10 Tm 0.7500 0.2839 0.5678
11 Au 0.2500 0.3381 0.6762
12 Au 0.7500 0.6619 0.3238

total energy = -49.499 eV/cell